A relaxed structure of PrHoCu2. Source: OQMD via LeMat-Bulk, functional PBE.

Geometry as POSCAR:
```
PrHoCu2
1.0
4.492 0.000 0.000
0.000 5.434 0.000
0.000 0.000 7.153
Pr Ho Cu
2 2 4
Cartesian
0.000 0.649 0.000
0.000 4.785 3.577
2.246 2.092 4.572
2.246 3.343 0.995
0.000 2.069 2.545
0.000 3.366 6.122
2.246 0.718 2.073
2.246 4.717 5.650
```

The calculated density comes out at 8.23 g/cm3. The energy of formation from the pure elements is -0.201 eV/atom. The value obtained for the energy is -35.18 eV/cell. Its total moment is 0.0009 μB per atom. As for the energy above the most stable polymorph in this dataset: 0.016 eV/atom.